1.
DFT (GGA-PBE) results for Ta2HgPt after structural relaxation.

extended XYZ file:
```
4
Lattice="5.125 -0.005 0.000 4.302 2.785 0.000 0.904 0.267 5.056" Properties=species:S:1:pos:R:3 pbc="T T T"
Hg 2.583 0.762 1.264
Pt 7.748 2.285 3.792
Ta 0.952 0.281 4.991
Ta 5.118 1.510 2.593
```

Properties
Symmetry ... C2/m, No. 12



2.
DFT (GGA-PBE) results for TaHg3Pt after structural relaxation.

extended XYZ file:
```
5
Lattice="-4.355 -2.181 2.132 -0.672 -2.939 -4.379 2.976 -3.856 2.132" Properties=species:S:1:pos:R:3 pbc="T T T"
Hg -0.336 -1.470 -2.190
Hg 1.488 -1.928 1.066
Hg -2.177 -1.091 1.066
Pt -1.026 -4.489 -0.058
Ta 0.000 0.000 0.000
```

Properties
Symmetry ... Pm-3m, No. 221
Energy relative to the lowest polymorph listed for this composition ... 0.267 eV per atom



3.
DFT (GGA-PBE) results for Ta2HgPt after structural relaxation.

extended XYZ file:
```
4
Lattice="10.091 0.077 0.045 9.647 2.960 0.045 9.647 1.484 2.561" Properties=species:S:1:pos:R:3 pbc="T T T"
Hg 14.621 2.250 1.319
Pt 21.899 3.370 1.976
Ta 0.144 0.022 0.013
Ta 7.412 1.141 0.669
```

Properties
Symmetry ... R3m, No. 160



4.
DFT (GGA-PBE) results for Ta2HgPt2 after structural relaxation.

extended XYZ file:
```
5
Lattice="4.167 0.000 0.000 0.000 4.167 0.000 2.084 2.084 5.788" Properties=species:S:1:pos:R:3 pbc="T T T"
Hg 0.000 0.000 0.000
Pt 2.084 2.084 1.273
Pt 4.167 4.167 4.515
Ta 4.167 2.084 2.894
Ta 2.084 4.167 2.894
```

Properties
Symmetry ... I4/mmm, No. 139
Energy relative to the lowest polymorph listed for this composition ... 0.266 eV per atom



5.
DFT (GGA-PBE) results for TaHgPt after structural relaxation.

extended XYZ file:
```
3
Lattice="-0.093 -4.326 2.582 3.766 -1.068 3.172 -3.654 3.258 -1.191" Properties=species:S:1:pos:R:3 pbc="T T T"
Hg 0.001 -0.002 0.002
Pt 1.203 -1.767 1.885
Ta 2.469 -3.625 3.868
```

Properties
Symmetry ... Imm2, No. 44
Energy relative to the lowest polymorph listed for this composition ... 0.109 eV per atom



6.
DFT (GGA-PBE) results for Ta2HgPt after structural relaxation.

extended XYZ file:
```
4
Lattice="-1.286 -4.735 4.307 4.408 0.060 -2.590 1.459 0.097 2.495" Properties=species:S:1:pos:R:3 pbc="T T T"
Hg 2.933 0.078 -0.047
Pt 1.561 -2.338 0.859
Ta 0.000 0.000 0.000
Ta 0.086 -2.319 3.401
```

Properties
Symmetry ... C2/m, No. 12



7.
DFT (GGA-PBE) results for Ta2HgPt after structural relaxation.

extended XYZ file:
```
4
Lattice="-2.460 -1.539 4.193 -1.480 -4.854 -0.505 4.496 2.304 -0.692" Properties=species:S:1:pos:R:3 pbc="T T T"
Hg 0.033 -1.215 2.673
Pt 0.523 -2.873 0.324
Ta -3.939 -6.392 3.688
Ta -1.970 -3.197 1.844
```

Properties
Symmetry ... I4/mmm, No. 139



8.
DFT (GGA-PBE) results for TaHgPt after structural relaxation.

extended XYZ file:
```
3
Lattice="4.445 0.000 0.000 2.223 3.850 0.000 2.223 1.283 3.630" Properties=species:S:1:pos:R:3 pbc="T T T"
Hg 4.445 2.567 1.815
Pt 6.668 3.850 2.722
Ta 0.000 0.000 0.000
```

Properties
Symmetry ... F-43m, No. 216
Energy relative to the lowest polymorph listed for this composition ... 0.214 eV per atom



9.
DFT (GGA-PBE) results for Ta2HgPt after structural relaxation.

extended XYZ file:
```
4
Lattice="5.022 -0.005 -0.001 4.122 2.869 -0.001 1.019 0.319 5.029" Properties=species:S:1:pos:R:3 pbc="T T T"
Hg 5.081 1.591 2.497
Pt 7.529 2.358 3.884
Ta 1.011 0.317 4.973
Ta 2.645 0.828 1.216
```

Properties
Symmetry ... Cm, No. 8



10.
DFT (GGA-PBE) results for Ta2HgPt after structural relaxation.

extended XYZ file:
```
4
Lattice="-0.359 -0.454 -2.832 2.507 -1.437 -0.087 -4.189 -7.414 1.719" Properties=species:S:1:pos:R:3 pbc="T T T"
Hg -2.127 -3.764 0.873
Pt -2.136 -6.626 -0.143
Ta -4.125 -7.301 1.692
Ta 0.062 -2.735 -1.045
```

Properties
Symmetry ... P4mm, No. 99



11.
DFT (GGA-PBE) results for Ta2HgPt9 after structural relaxation.

extended XYZ file:
```
12
Lattice="-2.131 -2.057 2.726 -1.734 -2.117 -2.952 8.815 -8.199 0.702" Properties=species:S:1:pos:R:3 pbc="T T T"
Ta 2.895 -2.693 0.231
Ta 5.919 -5.506 0.472
Hg 0.000 0.000 0.000
Pt -1.932 -2.087 -0.113
Pt 1.054 -4.865 0.125
Pt 3.896 -7.509 0.351
Pt 0.510 -2.494 1.489
Pt 3.342 -5.128 1.714
Pt 6.174 -7.763 1.940
Pt 0.708 -2.524 -1.351
Pt 3.540 -5.158 -1.125
Pt 6.372 -7.792 -0.899
```

Properties
Symmetry ... P4/mmm, No. 123



12.
DFT (GGA-PBE) results for Ta2HgPt after structural relaxation.

extended XYZ file:
```
4
Lattice="5.208 -0.018 0.000 2.046 4.789 0.000 -3.627 -2.386 2.877" Properties=species:S:1:pos:R:3 pbc="T T T"
Hg 3.627 2.386 0.000
Pt 2.604 -0.009 1.438
Ta 0.000 0.000 0.000
Ta 1.023 2.394 1.438
```

Properties
Symmetry ... I-4m2, No. 119



13.
DFT (GGA-PBE) results for TaHg4Pt after structural relaxation.

extended XYZ file:
```
6
Lattice="0.000 3.981 3.981 3.981 0.000 3.981 3.981 3.981 0.000" Properties=species:S:1:pos:R:3 pbc="T T T"
Ta 0.000 0.000 0.000
Hg 2.986 4.976 4.976
Hg 4.976 4.976 2.986
Hg 4.976 2.986 4.976
Hg 2.986 2.986 2.986
Pt 5.971 5.971 5.971
```

Properties
Symmetry ... F-43m, No. 216



14.
DFT (GGA-PBE) results for Ta2HgPt after structural relaxation.

extended XYZ file:
```
4
Lattice="3.176 0.000 0.000 0.000 3.674 0.000 0.000 0.000 6.206" Properties=species:S:1:pos:R:3 pbc="T T T"
Hg 0.000 0.000 3.129
Pt 1.588 1.837 4.745
Ta 0.000 0.000 6.129
Ta 1.588 1.837 1.512
```

Properties
Symmetry ... Pmm2, No. 25



15.
DFT (GGA-PBE) results for Ta2HgPt after structural relaxation.

extended XYZ file:
```
4
Lattice="4.137 0.000 0.000 0.000 4.136 0.000 0.000 0.000 4.158" Properties=species:S:1:pos:R:3 pbc="T T T"
Hg 2.068 0.000 2.079
Pt 0.000 2.068 2.079
Ta 0.000 0.000 0.000
Ta 2.068 2.068 0.000
```

Properties
Symmetry ... P4/mmm, No. 123



16.
DFT (GGA-PBE) results for Ta2HgPt after structural relaxation.

extended XYZ file:
```
4
Lattice="9.917 0.026 0.015 9.478 2.917 0.015 9.478 1.438 2.537" Properties=species:S:1:pos:R:3 pbc="T T T"
Hg 7.218 1.095 0.642
Pt 21.654 3.285 1.926
Ta 0.135 0.021 0.012
Ta 14.301 2.170 1.272
```

Properties
Symmetry ... R-3m, No. 166



17.
DFT (GGA-PBE) results for Ta2HgPt2 after structural relaxation.

extended XYZ file:
```
10
Lattice="-5.844 -5.498 0.254 0.701 -1.111 -7.919 1.950 -2.051 0.460" Properties=species:S:1:pos:R:3 pbc="T T T"
Hg 0.000 0.000 0.000
Hg -2.572 -3.304 -3.833
Pt 0.664 -2.430 -4.715
Pt -2.087 -5.449 -6.512
Pt -3.858 -6.230 -2.491
Pt -1.106 -3.211 -0.693
Ta -1.375 -2.773 -6.531
Ta -4.417 -5.332 -5.050
Ta -3.768 -3.836 -1.134
Ta -0.726 -1.277 -2.615
```

Properties
Symmetry ... P4/mbm, No. 127
Energy relative to the lowest polymorph listed for this composition ... 0.090 eV per atom



18.
DFT (GGA-PBE) results for Ta2HgPt after structural relaxation.

extended XYZ file:
```
4
Lattice="5.803 0.007 0.001 2.919 5.015 -0.001 -3.686 -3.684 2.553" Properties=species:S:1:pos:R:3 pbc="T T T"
Hg 4.241 2.442 0.000
Pt 1.625 1.822 1.276
Ta 0.094 0.054 0.000
Ta 3.437 -0.469 1.277
```

Properties
Symmetry ... Imm2, No. 44



19.
DFT (GGA-PBE) results for Ta2HgPt after structural relaxation.

extended XYZ file:
```
8
Lattice="-0.801 4.722 -5.844 -5.950 -3.987 -2.406 -5.060 1.964 -2.604" Properties=species:S:1:pos:R:3 pbc="T T T"
Hg 0.000 0.000 0.000
Hg -4.618 3.526 -6.286
Pt -3.375 0.367 -4.125
Pt -7.193 -0.828 -4.567
Ta -2.482 2.784 -4.406
Ta -5.111 -1.251 -3.083
Ta -6.528 1.614 -5.128
Ta -9.500 2.251 -9.090
```

Properties
Symmetry ... I-42d, No. 122



20.
DFT (GGA-PBE) results for TaHgPt after structural relaxation.

extended XYZ file:
```
3
Lattice="4.664 0.000 0.000 -2.332 4.039 0.000 0.000 0.000 2.822" Properties=species:S:1:pos:R:3 pbc="T T T"
Hg 0.000 0.000 0.472
Pt 0.000 2.693 0.469
Ta 2.332 1.346 1.880
```

Properties
Symmetry ... P-6m2, No. 187
Energy relative to the lowest polymorph listed for this composition ... 0.102 eV per atom



21.
DFT (GGA-PBE) results for TaHgPt after structural relaxation.

extended XYZ file:
```
3
Lattice="6.608 0.000 0.000 5.955 2.863 0.006 0.652 0.143 2.859" Properties=species:S:1:pos:R:3 pbc="T T T"
Hg 12.560 2.862 0.007
Pt 4.497 1.021 1.938
Ta 8.720 1.985 0.927
```

Properties
Symmetry ... I4mm, No. 107
Energy relative to the lowest polymorph listed for this composition ... 0.000 eV per atom



22.
DFT (GGA-PBE) results for Ta2HgPt after structural relaxation.

extended XYZ file:
```
4
Lattice="-0.768 3.437 -3.167 -1.924 -1.664 -1.339 -3.893 1.832 2.932" Properties=species:S:1:pos:R:3 pbc="T T T"
Hg -3.011 -0.179 0.536
Pt -4.675 2.110 -0.117
Ta -3.900 1.630 2.715
Ta -1.801 1.958 -0.980
```

Properties
Symmetry ... Pm, No. 6



23.
DFT (GGA-PBE) results for Ta2HgPt after structural relaxation.

extended XYZ file:
```
4
Lattice="2.896 0.009 0.000 -0.009 2.896 0.000 0.000 0.000 8.470" Properties=species:S:1:pos:R:3 pbc="T T T"
Hg 1.444 1.453 2.117
Pt 1.444 1.453 6.352
Ta 0.000 0.000 8.353
Ta 0.000 0.000 4.352
```

Properties
Symmetry ... P4/mmm, No. 123



24.
DFT (GGA-PBE) results for Tb7Hg2Pt2 after structural relaxation.

extended XYZ file:
```
11
Lattice="6.804 -0.003 -0.794 0.003 7.136 0.003 -1.216 -0.002 6.741" Properties=species:S:1:pos:R:3 pbc="T T T"
Tb -0.607 1.817 3.371
Tb 3.404 5.317 -0.394
Tb 6.197 5.314 2.579
Tb 2.187 1.814 6.344
Tb 0.000 0.000 0.000
Tb 2.796 5.356 2.976
Tb 2.795 1.775 2.974
Hg 4.573 3.564 4.867
Hg 1.017 3.567 1.083
Pt 4.494 7.134 1.382
Pt 1.096 -0.002 4.568
```

Properties
Symmetry ... Cmmm, No. 65



25.
DFT (GGA-PBE) results for Tb2Hg2Pt15 after structural relaxation.

extended XYZ file:
```
19
Lattice="-5.848 -3.875 0.585 0.047 -0.413 7.028 -4.389 5.390 1.120" Properties=species:S:1:pos:R:3 pbc="T T T"
Tb -3.628 0.392 3.109
Tb -6.562 0.709 5.623
Hg -1.066 0.115 0.913
Hg -9.123 0.986 7.819
Pt -2.924 -1.938 0.292
Pt -2.194 2.695 0.560
Pt 0.024 -0.207 3.514
Pt -1.395 1.474 5.106
Pt -3.931 -2.749 2.681
Pt -4.863 2.376 0.946
Pt -1.870 -1.539 4.932
Pt -5.373 -0.862 0.759
Pt -2.946 3.502 3.041
Pt -3.855 2.613 5.461
Pt -4.566 -1.902 5.200
Pt -6.728 0.926 2.321
Pt -6.334 -1.512 3.271
Pt -5.623 3.003 3.532
Pt -3.461 0.175 6.411
```

Properties
Symmetry ... R-3m, No. 166



26.
DFT (GGA-PBE) results for Tb12Hg5Pt2 after structural relaxation.

extended XYZ file:
```
19
Lattice="7.865 0.000 0.000 -3.932 8.159 0.139 0.000 -2.691 8.502" Properties=species:S:1:pos:R:3 pbc="T T T"
Tb 3.932 6.124 1.476
Tb -1.877 3.066 7.123
Tb 1.877 3.066 7.123
Tb -1.598 4.991 3.940
Tb 1.598 4.991 3.940
Tb 3.932 -1.971 6.951
Tb 0.000 7.438 1.690
Tb 5.530 0.477 4.701
Tb 2.335 0.477 4.701
Tb 5.809 2.401 1.518
Tb 2.056 2.401 1.518
Tb 0.000 -0.656 7.165
Hg 0.000 2.413 4.645
Hg 0.000 4.548 0.978
Hg 0.000 -1.346 4.251
Hg 3.932 0.920 7.663
Hg 3.932 3.055 3.996
Pt 6.266 0.000 0.000
Pt 1.599 0.000 0.000
```

Properties
Symmetry ... C2/m, No. 12



27.
DFT (GGA-PBE) results for Tb4Hg3Pt after structural relaxation.

extended XYZ file:
```
8
Lattice="-1.494 2.409 -2.306 1.521 -1.757 -2.820 -12.104 -8.618 -1.161" Properties=species:S:1:pos:R:3 pbc="T T T"
Tb -10.769 -7.667 -1.033
Tb -1.335 -0.951 -0.128
Tb -4.481 -3.190 -0.430
Tb -7.623 -5.428 -0.731
Hg -2.957 -1.789 -2.848
Hg -6.038 -3.983 -3.144
Hg -9.119 -6.176 -3.440
Pt 0.014 0.326 -2.563
```

Properties
Symmetry ... P4/mmm, No. 123



Here are the calculated formation energy from the elements numbers, same order: 62, 1409, 62, -51, -23, -44, -28, 82, -21, -119, -534, 96, 824, -81, -33, 22, -226, 13, 366, -30, -132, -19, -102, -537, -401, -395, -670 (meV/atom).